(1)
First-principles (PBEsol) data for a relaxed structure of Cs2LiMoI6, as listed in Alexandria.

Calculated values
Raw formation energy in eV per atom: -0.891
Space group: Fm-3m, No. 225

Lattice parameters (Å, degrees): 8.0865 8.0865 8.0865 60.00 60.00 60.00
Site moments in Bohr magnetons follow the coordinates.
Element x y z (fractional)
Cs1 0.2500 0.2500 0.2500  0.00
I1 0.7572 0.2428 0.2428  0.02
I2 0.7572 0.2428 0.7572  0.02
I3 0.2428 0.7572 0.7572  0.02
I4 0.2428 0.2428 0.7572  0.02
Cs2 0.7500 0.7500 0.7500  0.00
I5 0.2428 0.7572 0.2428  0.02
I6 0.7572 0.7572 0.2428  0.02
Mo1 0.0000 0.0000 0.0000  2.46
Li1 0.5000 0.5000 0.5000  0.00



(2)
First-principles (PBEsol) data for a relaxed structure of Cs2LiNdI6, as listed in Alexandria.

Calculated values
Raw formation energy in eV per atom: -1.430
Space group: Fm-3m, No. 225
DOS at the Fermi energy in states/eV/f.u.: 0.000

Lattice parameters (Å, degrees): 8.4350 8.4350 8.4350 60.00 60.00 60.00
Element x y z (fractional)
I1 0.7436 0.7436 0.2564
I2 0.7436 0.2564 0.2564
Nd1 0.0000 0.0000 0.0000
I3 0.7436 0.2564 0.7436
Cs1 0.2500 0.2500 0.2500
I4 0.2564 0.2564 0.7436
Li1 0.5000 0.5000 0.5000
I5 0.2564 0.7436 0.7436
I6 0.2564 0.7436 0.2564
Cs2 0.7500 0.7500 0.7500



(3)
First-principles (PBEsol) data for a relaxed structure of CsLiI2O, as listed in Alexandria.

Calculated values
Raw formation energy in eV per atom: -0.696
Space group: P4/mmm, No. 123
DOS at the Fermi energy in states/eV/f.u.: 4.254

Lattice parameters (Å, degrees): 3.7226 6.4055 6.4055 90.00 90.00 90.00
Site moments in Bohr magnetons follow the coordinates.
Element x y z (fractional)
O1 0.5000 0.0000 0.0000  0.89
I1 0.0000 0.0000 0.5000  0.12
Li1 0.0000 0.0000 0.0000  -0.01
Cs1 0.5000 0.5000 0.5000  0.00
I2 0.0000 0.5000 0.0000  0.12



(4)
First-principles (PBEsol) data for a relaxed structure of Cs2LiPrI6, as listed in Alexandria.

Calculated values
Raw formation energy in eV per atom: -1.428
Space group: Fm-3m, No. 225
DOS at the Fermi energy in states/eV/f.u.: 0.000

Lattice parameters (Å, degrees): 8.4602 8.4602 8.4602 60.00 60.00 60.00
Element x y z (fractional)
Pr1 0.0000 0.0000 0.0000
I1 0.7428 0.2572 0.7428
I2 0.2572 0.2572 0.7428
Cs1 0.2500 0.2500 0.2500
I3 0.2572 0.7428 0.2572
I4 0.2572 0.7428 0.7428
Li1 0.5000 0.5000 0.5000
I5 0.7428 0.2572 0.2572
Cs2 0.7500 0.7500 0.7500
I6 0.7428 0.7428 0.2572



(5)
First-principles (PBEsol) data for a relaxed structure of CsRbLiI2, as listed in Alexandria.

Calculated values
Raw formation energy in eV per atom: -0.776
Space group: P4/mmm, No. 123
DOS at the Fermi energy in states/eV/f.u.: 2.499

Lattice parameters (Å, degrees): 5.8283 5.8283 6.2185 90.00 90.00 90.00
Element x y z (fractional)
I1 0.0000 0.5000 0.0000
I2 0.5000 0.0000 0.0000
Rb1 0.5000 0.5000 0.5000
Li1 0.0000 0.0000 0.0000
Cs1 0.0000 0.0000 0.5000



(6)
First-principles (PBEsol) data for a relaxed structure of Cs2LiYI6, as listed in Alexandria.

Calculated values
Raw formation energy in eV per atom: -1.440
Space group: Fm-3m, No. 225
DOS at the Fermi energy in states/eV/f.u.: 0.000

Lattice parameters (Å, degrees): 8.3309 8.3309 8.3309 60.00 60.00 60.00
Element x y z (fractional)
Li1 0.5000 0.5000 0.5000
I1 0.2526 0.7474 0.2526
I2 0.7474 0.7474 0.2526
Cs1 0.2500 0.2500 0.2500
Y1 0.0000 0.0000 0.0000
I3 0.7474 0.2526 0.7474
I4 0.2526 0.7474 0.7474
I5 0.7474 0.2526 0.2526
I6 0.2526 0.2526 0.7474
Cs2 0.7500 0.7500 0.7500



(7)
First-principles (PBEsol) data for a relaxed structure of CsMg3I, as listed in Alexandria.

Calculated values
Raw formation energy in eV per atom: 0.722
Space group: Pm-3m, No. 221

Lattice parameters (Å, degrees): 7.1234 7.1234 7.1234 90.00 90.00 90.00
Element x y z (fractional)
Mg1 0.0000 0.0000 0.5000
I1 0.5000 0.5000 0.5000
Mg2 0.0000 0.5000 0.0000
Mg3 0.5000 0.0000 0.0000
Cs1 0.0000 0.0000 0.0000



(8)
First-principles (PBEsol) data for a relaxed structure of CsMg3I, as listed in Alexandria.

Calculated values
Raw formation energy in eV per atom: 0.369
Space group: Pm-3m, No. 221
DOS at the Fermi energy in states/eV/f.u.: 3.327

Lattice parameters (Å, degrees): 6.2741 6.2741 6.2741 90.00 90.00 90.00
Element x y z (fractional)
I1 0.0000 0.0000 0.0000
Mg1 0.5000 0.0000 0.0000
Cs1 0.5000 0.5000 0.5000
Mg2 0.0000 0.0000 0.5000
Mg3 0.0000 0.5000 0.0000



(9)
First-principles (PBEsol) data for a relaxed structure of CsMgIN2, as listed in Alexandria.

Calculated values
Raw formation energy in eV per atom: 0.733
Space group: P4/mmm, No. 123
DOS at the Fermi energy in states/eV/f.u.: 1.189

Lattice parameters (Å, degrees): 4.7742 4.7742 5.7502 90.00 90.00 90.00
Site moments in Bohr magnetons follow the coordinates.
Element x y z (fractional)
N1 0.5000 0.0000 0.0000  1.25
I1 0.0000 0.0000 0.5000  0.07
Mg1 0.0000 0.0000 0.0000  -0.02
N2 0.0000 0.5000 0.0000  1.25
Cs1 0.5000 0.5000 0.5000  0.01



(10)
First-principles (PBEsol) data for a relaxed structure of CsMgIO2, as listed in Alexandria.

Calculated values
Raw formation energy in eV per atom: 0.134
Space group: P4/mmm, No. 123
DOS at the Fermi energy in states/eV/f.u.: 1.120

Lattice parameters (Å, degrees): 4.4044 4.4044 6.9049 90.00 90.00 90.00
Element x y z (fractional)
O1 0.0000 0.5000 0.0000
Mg1 0.5000 0.5000 0.5000
Cs1 0.0000 0.0000 0.0000
I1 0.0000 0.0000 0.5000
O2 0.5000 0.0000 0.0000



(11)
First-principles (PBEsol) data for a relaxed structure of Cs3MnI5, as listed in Alexandria.

Calculated values
Raw formation energy in eV per atom: -1.157
Space group: I4/mcm, No. 140
DOS at the Fermi energy in states/eV/f.u.: 0.000

Lattice parameters (Å, degrees): 10.0729 10.7601 10.0729 62.09 90.00 117.91
Site moments in Bohr magnetons follow the coordinates.
Element x y z (fractional)
Mn1 0.2500 0.5000 0.2500  4.22
Cs1 0.1541 0.0000 0.3459  0.00
Mn2 0.7500 0.5000 0.7500  4.22
Cs2 0.2500 0.5000 0.7500  0.00
Cs3 0.8459 0.0000 0.6541  0.00
Cs4 0.3459 0.0000 0.8459  0.00
I1 0.8019 0.3054 0.6981  0.05
I2 0.6981 0.6946 0.5036  0.05
I3 0.0000 0.0000 0.0000  0.00
I4 0.5036 0.3054 0.9964  0.05
I5 0.4964 0.6946 0.0036  0.05
I6 0.5000 0.0000 0.5000  0.00
I7 0.9964 0.6946 0.8019  0.05
I8 0.0036 0.3054 0.1981  0.05
I9 0.1981 0.6946 0.3019  0.05
Cs5 0.7500 0.5000 0.2500  0.00
I10 0.3019 0.3054 0.4964  0.05
Cs6 0.6541 0.0000 0.1541  0.00



(12)
First-principles (PBEsol) data for a relaxed structure of CsMn2I, as listed in Alexandria.

Calculated values
Raw formation energy in eV per atom: 1.177
Space group: Fm-3m, No. 225
DOS at the Fermi energy in states/eV/f.u.: 4.760

Lattice parameters (Å, degrees): 5.5035 5.5035 5.5035 60.00 60.00 60.00
Site moments in Bohr magnetons follow the coordinates.
Element x y z (fractional)
I1 0.0000 0.0000 0.0000  0.13
Cs1 0.5000 0.5000 0.5000  0.07
Mn1 0.2500 0.2500 0.2500  4.23
Mn2 0.7500 0.7500 0.7500  4.23



(13)
First-principles (PBEsol) data for a relaxed structure of CsMnI2O, as listed in Alexandria.

Calculated values
Raw formation energy in eV per atom: 0.607
Space group: P4/mmm, No. 123
DOS at the Fermi energy in states/eV/f.u.: 4.885

Lattice parameters (Å, degrees): 4.2590 6.6602 6.6602 90.00 90.00 90.00
Site moments in Bohr magnetons follow the coordinates.
Element x y z (fractional)
I1 0.0000 0.5000 0.0000  0.03
O1 0.5000 0.0000 0.0000  0.00
Mn1 0.5000 0.5000 0.5000  4.67
I2 0.0000 0.0000 0.5000  0.03
Cs1 0.0000 0.0000 0.0000  0.00



(14)
First-principles (PBEsol) data for a relaxed structure of CsMn2RuI, as listed in Alexandria.

Calculated values
Raw formation energy in eV per atom: 0.989
Space group: P4/mmm, No. 123
DOS at the Fermi energy in states/eV/f.u.: 4.662

Lattice parameters (Å, degrees): 4.9396 4.9396 5.7395 90.00 90.00 90.00
Site moments in Bohr magnetons follow the coordinates.
Element x y z (fractional)
Mn1 0.0000 0.5000 0.0000  4.16
I1 0.5000 0.5000 0.5000  0.10
Cs1 0.0000 0.0000 0.5000  0.02
Ru1 0.0000 0.0000 0.0000  0.19
Mn2 0.5000 0.0000 0.0000  4.16



(15)
First-principles (PBEsol) data for a relaxed structure of CsZr6MnI14, as listed in Alexandria.

Calculated values
Raw formation energy in eV per atom: -0.978
Space group: Cmce, No. 64

Lattice parameters (Å, degrees): 10.7183 10.7183 12.9875 90.00 90.00 96.49
Element x y z (fractional)
I1 0.6623 0.6623 0.2609
I2 0.1623 0.1623 0.2391
I3 0.6193 0.8719 0.0051
Cs1 0.5000 0.5000 0.5000
I4 0.9038 0.4038 0.2500
Zr1 0.4572 0.6790 0.1123
Mn1 0.0000 0.0000 0.5000
Cs2 0.0000 0.0000 0.0000
Zr2 0.6404 0.6404 0.8960
Zr3 0.3210 0.5428 0.8877
I5 0.7531 0.2469 0.0000
Zr4 0.8210 0.0428 0.6123
Zr5 0.8596 0.8596 0.3960
Zr6 0.3596 0.3596 0.1040
I6 0.7854 0.0370 0.2473
Zr7 0.5428 0.3210 0.8877
Zr8 0.9572 0.1790 0.3877
I7 0.5962 0.0962 0.7500
Zr9 0.1790 0.9572 0.3877
Zr10 0.1404 0.1404 0.6040
I8 0.5370 0.2854 0.2527
I9 0.3807 0.1281 0.9949
Zr11 0.0428 0.8210 0.6123
I10 0.9630 0.2146 0.7527
I11 0.4038 0.9038 0.2500
I12 0.3719 0.1193 0.4949
I13 0.0962 0.5962 0.7500
I14 0.1193 0.3719 0.4949
I15 0.7146 0.4630 0.7473
I16 0.2146 0.9630 0.7527
I17 0.8719 0.6193 0.0051
I18 0.0370 0.7854 0.2473
Mn2 0.5000 0.5000 0.0000
I19 0.4630 0.7146 0.7473
I20 0.2854 0.5370 0.2527
I21 0.3377 0.3377 0.7391
I22 0.8377 0.8377 0.7609
Zr12 0.6790 0.4572 0.1123
I23 0.6281 0.8807 0.5051
I24 0.2469 0.7531 0.0000
I25 0.7469 0.2531 0.5000
I26 0.2531 0.7469 0.5000
I27 0.1281 0.3807 0.9949
I28 0.8807 0.6281 0.5051



(16)
First-principles (PBEsol) data for a relaxed structure of CsMo3I7, as listed in Alexandria.

Calculated values
Raw formation energy in eV per atom: -0.598
Space group: P-31c, No. 163
DOS at the Fermi energy in states/eV/f.u.: 0.000

Lattice parameters (Å, degrees): 10.6994 10.6994 16.3058 90.00 90.00 120.00
Element x y z (fractional)
I1 0.6904 0.0384 0.5871
I2 0.6667 0.3333 0.0444
I3 0.3279 0.3661 0.8211
I4 0.3480 0.0384 0.9129
I5 0.0384 0.3480 0.4129
I6 0.6721 0.6339 0.1789
I7 0.9616 0.6520 0.5871
I8 0.3096 0.9616 0.4129
I9 0.3661 0.0382 0.1789
I10 0.0382 0.3661 0.6789
Mo1 0.3350 0.8111 0.8162
I11 0.3661 0.3279 0.3211
I12 0.0384 0.6904 0.0871
I13 0.3096 0.3480 0.0871
I14 0.6339 0.6721 0.6789
I15 0.3279 0.9618 0.6789
Mo2 0.4761 0.8111 0.6838
Mo3 0.5239 0.3350 0.1838
Cs1 0.0000 0.0000 0.0000
Mo4 0.1889 0.5239 0.8162
I16 0.3480 0.3096 0.5871
I17 0.6520 0.9616 0.0871
I18 0.3333 0.6667 0.9556
Mo5 0.5239 0.1889 0.3162
I19 0.9618 0.6339 0.3211
I20 0.6339 0.9618 0.8211
I21 0.6721 0.0382 0.3211
I22 0.6520 0.6904 0.4129
Mo6 0.1889 0.6650 0.6838
Mo7 0.6650 0.4761 0.3162
I23 0.0382 0.6721 0.8211
Cs2 0.0000 0.0000 0.5000
Mo8 0.8111 0.4761 0.1838
I24 0.6904 0.6520 0.9129
Cs3 0.3333 0.6667 0.2500
I25 0.9618 0.3279 0.1789
Mo9 0.4761 0.6650 0.8162
Mo10 0.6650 0.1889 0.1838
I26 0.3333 0.6667 0.5444
I27 0.6667 0.3333 0.4556
Mo11 0.8111 0.3350 0.3162
I28 0.9616 0.3096 0.9129
Mo12 0.3350 0.5239 0.6838
Cs4 0.6667 0.3333 0.7500



(17)
First-principles (PBEsol) data for a relaxed structure of Cs3Mo2I9, as listed in Alexandria.

Calculated values
Raw formation energy in eV per atom: -0.771
Space group: P6_3/mmc, No. 194

Lattice parameters (Å, degrees): 8.0682 8.0682 19.6904 90.00 90.00 120.00
Site moments in Bohr magnetons follow the coordinates.
Element x y z (fractional)
Cs1 0.0000 0.0000 0.2500  0.00
Cs2 0.6667 0.3333 0.5672  0.00
Mo1 0.3333 0.6667 0.6757  1.63
I1 0.8267 0.6534 0.0927  0.01
Mo2 0.3333 0.6667 0.8243  1.63
I2 0.6534 0.8267 0.9073  0.01
I3 0.3466 0.1733 0.4073  0.01
I4 0.1733 0.3466 0.9073  0.01
I5 0.4994 0.5006 0.2500  0.03
I6 0.8267 0.1733 0.0927  0.01
I7 0.5006 0.4994 0.7500  0.03
Cs3 0.3333 0.6667 0.0672  0.00
Cs4 0.0000 0.0000 0.7500  0.00
I8 0.6534 0.8267 0.5927  0.01
I9 0.1733 0.8267 0.9073  0.01
I10 0.4994 0.9989 0.2500  0.03
I11 0.9989 0.4994 0.7500  0.03
Mo3 0.6667 0.3333 0.3243  1.63
I12 0.1733 0.8267 0.5927  0.01
Mo4 0.6667 0.3333 0.1757  1.63
I13 0.8267 0.1733 0.4073  0.01
Cs5 0.3333 0.6667 0.4328  0.00
I14 0.1733 0.3466 0.5927  0.01
I15 0.3466 0.1733 0.0927  0.01
I16 0.0011 0.5006 0.2500  0.03
I17 0.5006 0.0011 0.7500  0.03
I18 0.8267 0.6534 0.4073  0.01
Cs6 0.6667 0.3333 0.9328  0.00



(18)
First-principles (PBEsol) data for a relaxed structure of Cs2NaMoI6, as listed in Alexandria.

Calculated values
Raw formation energy in eV per atom: -0.898
Space group: Fm-3m, No. 225

Lattice parameters (Å, degrees): 8.2722 8.2722 8.2722 60.00 60.00 60.00
Site moments in Bohr magnetons follow the coordinates.
Element x y z (fractional)
Cs1 0.7500 0.7500 0.7500  0.00
I1 0.7633 0.7633 0.2367  0.01
I2 0.7633 0.2367 0.7633  0.01
Cs2 0.2500 0.2500 0.2500  0.00
I3 0.2367 0.7633 0.7633  0.01
Na1 0.5000 0.5000 0.5000  0.00
I4 0.2367 0.7633 0.2367  0.01
I5 0.2367 0.2367 0.7633  0.01
Mo1 0.0000 0.0000 0.0000  2.46
I6 0.7633 0.2367 0.2367  0.01



(19)
First-principles (PBEsol) data for a relaxed structure of CsMoI2O, as listed in Alexandria.

Calculated values
Raw formation energy in eV per atom: 1.083
Space group: P4/mmm, No. 123
DOS at the Fermi energy in states/eV/f.u.: 6.109

Lattice parameters (Å, degrees): 4.2216 6.6333 6.6333 90.00 90.00 90.00
Site moments in Bohr magnetons follow the coordinates.
Element x y z (fractional)
Mo1 0.5000 0.5000 0.5000  4.04
I1 0.0000 0.0000 0.5000  -0.13
Cs1 0.0000 0.0000 0.0000  -0.02
O1 0.5000 0.0000 0.0000  -0.02
I2 0.0000 0.5000 0.0000  -0.13



(20)
First-principles (PBEsol) data for a relaxed structure of CsIN2, as listed in Alexandria.

Calculated values
Raw formation energy in eV per atom: 1.069
Space group: I-42d, No. 122

Lattice parameters (Å, degrees): 6.6002 6.3449 6.6002 58.66 90.00 121.34
Element x y z (fractional)
N1 0.2688 0.7500 0.8750
Cs1 0.0000 0.0000 0.0000
N2 0.4812 0.7500 0.3750
Cs2 0.7500 0.5000 0.7500
N3 0.3750 0.2500 0.2688
N4 0.8750 0.2500 0.4812
I1 0.5000 0.0000 0.5000
I2 0.2500 0.5000 0.2500